[1]
# Nd8Ge3Te4Cl | Alexandria | PBE | relaxed
data_Nd8Ge3Te4Cl
_symmetry_space_group_name_H-M 'P 1'
_symmetry_Int_Tables_number 1
_cell_length_a 8.7243
_cell_length_b 8.8680
_cell_length_c 8.7241
_cell_angle_alpha 119.47
_cell_angle_beta 120.00
_cell_angle_gamma 90.00
loop_
_symmetry_equiv_pos_as_xyz
'x,y,z'
loop_
_atom_site_label
_atom_site_type_symbol
_atom_site_fract_x
_atom_site_fract_y
_atom_site_fract_z
Te1 Te 0.0000 0.0000 0.0000
Te2 Te 0.0000 0.0000 0.5000
Te3 Te 0.5000 0.0000 0.0000
Te4 Te 0.5000 0.0000 0.5000
Ge1 Ge 0.5000 0.5000 0.0000
Ge2 Ge 0.5000 0.5000 0.5000
Ge3 Ge 0.0000 0.5000 0.5000
Nd1 Nd 0.7525 0.2742 0.5051
Nd2 Nd 0.7417 0.7246 0.4834
Nd3 Nd 0.7525 0.2746 0.0223
Nd4 Nd 0.2475 0.7258 0.4949
Nd5 Nd 0.2583 0.2754 0.5166
Nd6 Nd 0.2475 0.7254 0.9777
Nd7 Nd 0.7302 0.7254 0.9777
Nd8 Nd 0.2698 0.2746 0.0223
Cl1 Cl 0.0000 0.5000 0.0000
# Uncorrected formation energy in eV/atom: -1.31


[2]
# RbAsOsBr2 | Alexandria | PBE | relaxed
data_RbAsOsBr2
_symmetry_space_group_name_H-M 'P 1'
_symmetry_Int_Tables_number 1
_cell_length_a 5.5020
_cell_length_b 5.5020
_cell_length_c 4.6598
_cell_angle_alpha 90.00
_cell_angle_beta 90.00
_cell_angle_gamma 90.00
loop_
_symmetry_equiv_pos_as_xyz
'x,y,z'
loop_
_atom_site_label
_atom_site_type_symbol
_atom_site_fract_x
_atom_site_fract_y
_atom_site_fract_z
Br1 Br 0.5000 0.0000 0.0000
Br2 Br 0.0000 0.5000 0.0000
Os1 Os 0.0000 0.0000 0.0000
As1 As 0.0000 0.0000 0.5000
Rb1 Rb 0.5000 0.5000 0.5000
# Uncorrected formation energy in eV/atom: -0.16


| no. | total moment (Bohr magnetons per cell) |
| --- | --- |
| 1 | 0.0 |
| 2 | 0.1 |